1.
## CoPC3 (PBE)

Data for a geometry-optimized CoPC3 structure.

Cell lengths 3.7458, 3.7458, 3.7458 Å; angles 90.00, 90.00, 90.00 degrees
Space group Pm-3m (No. 221)
One atom of each set of equivalent atoms:
Co1 0.0000 0.0000 0.0000 (multiplicity 1)
P1 0.5000 0.5000 0.5000 (multiplicity 1)
C1 0.0000 0.0000 0.5000 (multiplicity 3)

## Properties
- size of the total moment (μB/f.u.) = 0.0
- VASP energy (eV/atom) = -5.73
- DFT formation energy (kJ per mole of atoms) = 222.9

2.
## PaCoPC (PBE)

Data for a geometry-optimized PaCoPC structure.

Cell lengths 3.6984, 3.6984, 7.9766 Å; angles 90.00, 90.00, 90.00 degrees
Space group P4/nmm (No. 129, origin choice 2)
One atom of each set of equivalent atoms:
Pa1 0.2500 0.2500 0.1690 (multiplicity 2)
Co1 0.2500 0.7500 0.5000 (multiplicity 2)
P1 0.2500 0.2500 0.6493 (multiplicity 2)
C1 0.2500 0.2500 0.8748 (multiplicity 2)

## Properties
- size of the total moment (μB/f.u.) = 0.7
- VASP energy (eV/atom) = -8.60
- DFT formation energy (kJ per mole of atoms) = -76.1

3.
## PaCo2PC (PBE)

Data for a geometry-optimized PaCo2PC structure.

Cell lengths 3.6318, 10.6688, 6.6154 Å; angles 90.00, 90.00, 90.00 degrees
Space group Cmcm (No. 63)
One atom of each set of equivalent atoms:
Pa1 0.0000 0.0457 0.2500 (multiplicity 4)
Co1 0.0000 0.3277 0.0540 (multiplicity 8)
P1 0.0000 0.2263 0.7500 (multiplicity 4)
C1 0.0000 0.5000 0.0000 (multiplicity 4)

## Properties
- size of the total moment (μB/f.u.) = 0.0
- VASP energy (eV/atom) = -8.34
- DFT formation energy (kJ per mole of atoms) = -64.9

4.
## PmCo2PC (PBE)

Data for a geometry-optimized PmCo2PC structure.

Cell lengths 3.7732, 10.4964, 6.7189 Å; angles 90.00, 90.00, 90.00 degrees
Space group Cmcm (No. 63)
One atom of each set of equivalent atoms:
Pm1 0.0000 0.0478 0.2500 (multiplicity 4)
Co1 0.0000 0.3336 0.0553 (multiplicity 8)
P1 0.0000 0.2285 0.7500 (multiplicity 4)
C1 0.0000 0.5000 0.0000 (multiplicity 4)

## Properties
- size of the total moment (μB/f.u.) = 0.0
- VASP energy (eV/atom) = -7.31
- DFT formation energy (kJ per mole of atoms) = -57.0

5.
## PrCo3PC (PBE)

Data for a geometry-optimized PrCo3PC structure.

Cell lengths 5.3095, 10.9236, 5.6071 Å; angles 90.00, 90.00, 90.00 degrees
Space group Cmcm (No. 63)
One atom of each set of equivalent atoms:
Pr1 0.0000 0.2426 0.2500 (multiplicity 4)
Co1 0.0000 0.3159 0.7500 (multiplicity 4)
Co2 0.2363 0.5000 0.0000 (multiplicity 8)
P1 0.0000 0.1145 0.7500 (multiplicity 4)
C1 0.0000 0.4815 0.7500 (multiplicity 4)

## Properties
- size of the total moment (μB/f.u.) = 0.0
- VASP energy (eV/atom) = -7.16
- DFT formation energy (kJ per mole of atoms) = -36.1

6.
## Co2PPtC (PBE)

Data for a geometry-optimized Co2PPtC structure.

Cell lengths 4.7858, 4.7858, 4.3084 Å; angles 90.00, 90.00, 90.00 degrees
Space group P4/mmm (No. 123)
One atom of each set of equivalent atoms:
Co1 0.0000 0.5000 0.0000 (multiplicity 2)
P1 0.0000 0.0000 0.5000 (multiplicity 1)
Pt1 0.0000 0.0000 0.0000 (multiplicity 1)
C1 0.5000 0.5000 0.5000 (multiplicity 1)

## Properties
- size of the total moment (μB/f.u.) = 3.1
- VASP energy (eV/atom) = -4.84
- DFT formation energy (kJ per mole of atoms) = 205.9

7.
## Co2PPtC (PBE)

Data for a geometry-optimized Co2PPtC structure.

Cell lengths 4.7647, 4.7647, 3.7250 Å; angles 90.00, 90.00, 90.00 degrees
Space group P4/mmm (No. 123)
One atom of each set of equivalent atoms:
Co1 0.0000 0.5000 0.0000 (multiplicity 2)
P1 0.0000 0.0000 0.5000 (multiplicity 1)
Pt1 0.5000 0.5000 0.0000 (multiplicity 1)
C1 0.5000 0.5000 0.5000 (multiplicity 1)

## Properties
- size of the total moment (μB/f.u.) = 4.1
- VASP energy (eV/atom) = -5.52
- DFT formation energy (kJ per mole of atoms) = 140.4

8.
## CoReP2C (PBE)

Data for a geometry-optimized CoReP2C structure.

Cell lengths 4.6859, 4.6859, 3.8969 Å; angles 90.00, 90.00, 90.00 degrees
Space group P4/mmm (No. 123)
One atom of each set of equivalent atoms:
Co1 0.0000 0.0000 0.0000 (multiplicity 1)
Re1 0.5000 0.5000 0.5000 (multiplicity 1)
P1 0.0000 0.5000 0.5000 (multiplicity 2)
C1 0.5000 0.5000 0.0000 (multiplicity 1)

## Properties
- size of the total moment (μB/f.u.) = 1.9
- VASP energy (eV/atom) = -6.62
- DFT formation energy (kJ per mole of atoms) = 125.8

9.
## CoPCS2 (PBE)

Data for a geometry-optimized CoPCS2 structure.

Cell lengths 4.4385, 4.4385, 4.1556 Å; angles 90.00, 90.00, 90.00 degrees
Space group P4/mmm (No. 123)
One atom of each set of equivalent atoms:
Co1 0.0000 0.0000 0.0000 (multiplicity 1)
P1 0.0000 0.0000 0.5000 (multiplicity 1)
C1 0.5000 0.5000 0.5000 (multiplicity 1)
S1 0.0000 0.5000 0.0000 (multiplicity 2)

## Properties
- size of the total moment (μB/f.u.) = 0.0
- VASP energy (eV/atom) = -4.25
- E_form (uncorrected) (eV/atom) = 1.746

10.
## CoPCS2 (PBE)

Data for a geometry-optimized CoPCS2 structure.

Cell lengths 4.0789, 4.0789, 3.8949 Å; angles 90.00, 90.00, 90.00 degrees
Space group P4/mmm (No. 123)
One atom of each set of equivalent atoms:
Co1 0.0000 0.0000 0.0000 (multiplicity 1)
P1 0.5000 0.5000 0.0000 (multiplicity 1)
C1 0.5000 0.5000 0.5000 (multiplicity 1)
S1 0.0000 0.5000 0.5000 (multiplicity 2)

## Properties
- size of the total moment (μB/f.u.) = 1.5
- VASP energy (eV/atom) = -4.67
- E_form (uncorrected) (eV/atom) = 1.327

11.
## ScCo2PC (PBE)

Data for a geometry-optimized ScCo2PC structure.

Cell lengths 3.4754, 10.5219, 6.4560 Å; angles 90.00, 90.00, 90.00 degrees
Space group Cmcm (No. 63)
One atom of each set of equivalent atoms:
Sc1 0.0000 0.0343 0.2500 (multiplicity 4)
Co1 0.0000 0.3351 0.0530 (multiplicity 8)
P1 0.0000 0.2343 0.7500 (multiplicity 4)
C1 0.0000 0.5000 0.0000 (multiplicity 4)

## Properties
- size of the total moment (μB/f.u.) = 0.0
- VASP energy (eV/atom) = -7.69
- DFT formation energy (kJ per mole of atoms) = -63.2

12.
## CoSiP2C (PBE)

Data for a geometry-optimized CoSiP2C structure.

Cell lengths 4.2071, 4.2071, 3.6052 Å; angles 90.00, 90.00, 90.00 degrees
Space group P4/mmm (No. 123)
One atom of each set of equivalent atoms:
Co1 0.0000 0.0000 0.0000 (multiplicity 1)
Si1 0.5000 0.5000 0.0000 (multiplicity 1)
P1 0.0000 0.5000 0.5000 (multiplicity 2)
C1 0.0000 0.0000 0.5000 (multiplicity 1)

## Properties
- size of the total moment (μB/f.u.) = 0.0
- VASP energy (eV/atom) = -5.57
- E_form (uncorrected) (eV/atom) = 0.940

13.
## SmCo2PC (PBE)

Data for a geometry-optimized SmCo2PC structure.

Cell lengths 3.7520, 10.4872, 6.7029 Å; angles 90.00, 90.00, 90.00 degrees
Space group Cmcm (No. 63)
One atom of each set of equivalent atoms:
Sm1 0.0000 0.0473 0.2500 (multiplicity 4)
Co1 0.0000 0.3336 0.0553 (multiplicity 8)
P1 0.0000 0.2288 0.7500 (multiplicity 4)
C1 0.0000 0.5000 0.0000 (multiplicity 4)

## Properties
- size of the total moment (μB/f.u.) = 0.0
- VASP energy (eV/atom) = -7.32
- DFT formation energy (kJ per mole of atoms) = -58.4

14.
## Sm2Co2P2C (PBE)

Data for a geometry-optimized Sm2Co2P2C structure.

Cell lengths 10.6698, 3.8124, 6.7199 Å; angles 90.00, 126.07, 90.00 degrees
Space group C2/m (No. 12)
One atom of each set of equivalent atoms:
Sm1 0.0620 0.0000 0.3099 (multiplicity 4)
Co1 0.1899 0.5000 0.0741 (multiplicity 4)
P1 0.1823 0.5000 0.7272 (multiplicity 4)
C1 0.0000 0.5000 0.0000 (multiplicity 2)

## Properties
- size of the total moment (μB/f.u.) = 0.0
- VASP energy (eV/atom) = -7.08
- DFT formation energy (kJ per mole of atoms) = -80.6

15.
## Sr2Co2P2C (PBE)

Data for a geometry-optimized Sr2Co2P2C structure.

Cell lengths 10.9058, 3.9035, 7.0645 Å; angles 90.00, 124.83, 90.00 degrees
Space group C2/m (No. 12)
One atom of each set of equivalent atoms:
Sr1 0.0588 0.0000 0.3179 (multiplicity 4)
Co1 0.1821 0.5000 0.0676 (multiplicity 4)
P1 0.1981 0.5000 0.7618 (multiplicity 4)
C1 0.0000 0.5000 0.0000 (multiplicity 2)

## Properties
- size of the total moment (μB/f.u.) = 0.0
- VASP energy (eV/atom) = -5.95
- DFT formation energy (kJ per mole of atoms) = -55.6

16.
## TbCo3PC (PBE)

Data for a geometry-optimized TbCo3PC structure.

Cell lengths 5.2837, 10.7882, 5.4598 Å; angles 90.00, 90.00, 90.00 degrees
Space group Cmcm (No. 63)
One atom of each set of equivalent atoms:
Tb1 0.0000 0.2474 0.2500 (multiplicity 4)
Co1 0.0000 0.3194 0.7500 (multiplicity 4)
Co2 0.2422 0.5000 0.0000 (multiplicity 8)
P1 0.0000 0.1203 0.7500 (multiplicity 4)
C1 0.0000 0.4867 0.7500 (multiplicity 4)

## Properties
- size of the total moment (μB/f.u.) = 0.5
- VASP energy (eV/atom) = -7.19
- DFT formation energy (kJ per mole of atoms) = -40.9

17.
## Th6Co2PC3 (PBE)

Data for a geometry-optimized Th6Co2PC3 structure.

Cell lengths 17.2495, 3.8634, 7.8866 Å; angles 90.00, 108.00, 90.00 degrees
Space group C2/m (No. 12)
One atom of each set of equivalent atoms:
Th1 0.0005 0.0000 0.2652 (multiplicity 4)
Th2 0.1537 0.5000 0.6112 (multiplicity 4)
Th3 0.1782 0.5000 0.0969 (multiplicity 4)
Co1 0.2001 0.0000 0.4001 (multiplicity 4)
P1 0.0000 0.5000 0.0000 (multiplicity 2)
C1 0.0000 0.5000 0.5000 (multiplicity 2)
C2 0.1607 0.0000 0.8535 (multiplicity 4)

## Properties
- size of the total moment (μB/f.u.) = 0.0
- VASP energy (eV/atom) = -8.07
- DFT formation energy (kJ per mole of atoms) = -40.2

18.
## TmCo3PC (PBE)

Data for a geometry-optimized TmCo3PC structure.

Cell lengths 5.2577, 10.7266, 5.4037 Å; angles 90.00, 90.00, 90.00 degrees
Space group Cmcm (No. 63)
One atom of each set of equivalent atoms:
Tm1 0.0000 0.2491 0.2500 (multiplicity 4)
Co1 0.0000 0.3212 0.7500 (multiplicity 4)
Co2 0.2452 0.5000 0.0000 (multiplicity 8)
P1 0.0000 0.1229 0.7500 (multiplicity 4)
C1 0.0000 0.4896 0.7500 (multiplicity 4)

## Properties
- size of the total moment (μB/f.u.) = 0.3
- VASP energy (eV/atom) = -7.16
- DFT formation energy (kJ per mole of atoms) = -40.9

19.
## UCo2PC (PBE)

Data for a geometry-optimized UCo2PC structure.

Cell lengths 3.5719, 10.6588, 6.5180 Å; angles 90.00, 90.00, 90.00 degrees
Space group Cmcm (No. 63)
One atom of each set of equivalent atoms:
U1 0.0000 0.0430 0.2500 (multiplicity 4)
Co1 0.0000 0.3275 0.0537 (multiplicity 8)
P1 0.0000 0.2269 0.7500 (multiplicity 4)
C1 0.0000 0.5000 0.0000 (multiplicity 4)

## Properties
- size of the total moment (μB/f.u.) = 0.9
- VASP energy (eV/atom) = -8.59
- DFT formation energy (kJ per mole of atoms) = -54.2

20.
## YCo3PC (PBE)

Data for a geometry-optimized YCo3PC structure.

Cell lengths 5.2939, 10.7806, 5.4448 Å; angles 90.00, 90.00, 90.00 degrees
Space group Cmcm (No. 63)
One atom of each set of equivalent atoms:
Y1 0.0000 0.2480 0.2500 (multiplicity 4)
Co1 0.0000 0.3197 0.7500 (multiplicity 4)
Co2 0.2427 0.5000 0.0000 (multiplicity 8)
P1 0.0000 0.1208 0.7500 (multiplicity 4)
C1 0.0000 0.4870 0.7500 (multiplicity 4)

## Properties
- size of the total moment (μB/f.u.) = 0.5
- VASP energy (eV/atom) = -7.49
- DFT formation energy (kJ per mole of atoms) = -40.6

21.
## ZnCoPC (PBE)

Data for a geometry-optimized ZnCoPC structure.

Cell lengths 10.8935, 2.8481, 3.2692 Å; angles 90.00, 90.18, 90.00 degrees
Space group Cm (No. 8)
One atom of each set of equivalent atoms:
Zn1 0.0000 0.0000 0.0000 (multiplicity 2)
Co1 0.3446 0.0000 0.4973 (multiplicity 2)
P1 0.2746 0.5000 0.9965 (multiplicity 2)
C1 0.1835 0.0000 0.9988 (multiplicity 2)

## Properties
- size of the total moment (μB/f.u.) = 0.0
- VASP energy (eV/atom) = -5.36
- DFT formation energy (kJ per mole of atoms) = 38.0

22.
## ZnCoPC (PBE)

Data for a geometry-optimized ZnCoPC structure.

Cell lengths 3.3341, 3.3341, 15.9547 Å; angles 90.00, 90.00, 120.00 degrees
Space group R3m (No. 160, hexagonal axes)
One atom of each set of equivalent atoms:
Zn1 0.0000 0.0000 0.0000 (multiplicity 3)
Co1 0.0000 0.0000 0.4440 (multiplicity 3)
P1 0.0000 0.0000 0.8507 (multiplicity 3)
C1 0.0000 0.0000 0.7331 (multiplicity 3)

## Properties
- size of the total moment (μB/f.u.) = 0.0
- VASP energy (eV/atom) = -5.35
- DFT formation energy (kJ per mole of atoms) = 39.2

23.
## ZnCoPC (PBE)

Data for a geometry-optimized ZnCoPC structure.

Cell lengths 3.6207, 3.6280, 8.2716 Å; angles 90.00, 90.00, 90.00 degrees
Space group Imm2 (No. 44)
One atom of each set of equivalent atoms:
Zn1 0.0000 0.0000 0.0000 (multiplicity 2)
Co1 0.0000 0.0000 0.5256 (multiplicity 2)
P1 0.0000 0.5000 0.6909 (multiplicity 2)
C1 0.0000 0.5000 0.8998 (multiplicity 2)

## Properties
- size of the total moment (μB/f.u.) = 0.0
- VASP energy (eV/atom) = -5.38
- DFT formation energy (kJ per mole of atoms) = 35.8

24.
## ZnCoPC (PBE)

Data for a geometry-optimized ZnCoPC structure.

Cell lengths 3.5545, 3.8375, 5.1669 Å; angles 84.79, 70.11, 62.46 degrees
Space group P1 (No. 1)
One atom of each set of equivalent atoms:
Zn1 0.0000 0.0000 0.0000 (multiplicity 1)
Co1 0.1881 0.0974 0.5152 (multiplicity 1)
P1 0.8027 0.7211 0.6641 (multiplicity 1)
C1 0.7505 0.0828 0.4041 (multiplicity 1)

## Properties
- size of the total moment (μB/f.u.) = 0.0
- VASP energy (eV/atom) = -5.40
- DFT formation energy (kJ per mole of atoms) = 33.8